(1)
The following is a DFT calculation (GGA-PBE) of a relaxed structure of La3InRu.

The calculation puts the formation energy from the elements at -0.37 eV/atom. The crystal system is monoclinic. As for the total energy: -5.734 eV/atom. For the energy above the most stable polymorph in this dataset, the calculation gives 43 meV per atom.

The structure belongs to space group P2_1/m (No. 11); the cell edges are 6.0748, 7.4303 and 7.2905 Å and the angles 90.00°, 113.38° and 90.00°. The distinct sites, in fractional coordinates, are La at (0.1562, 0.2500, 0.1509), La at (0.2938, 0.0154, 0.7166), In at (0.2311, 0.7500, 0.3219) and Ru at (0.3512, 0.7500, 0.9833).

=====

(2)
The following is a DFT calculation (GGA-PBE) of a relaxed structure of SnGeSb2I.

The crystal system is tetragonal. As for the total energy: -2.853 eV/atom. For the energy above the most stable polymorph in this dataset, the calculation gives 329 meV per atom.

The structure belongs to space group P4/mmm (No. 123); the cell edges are 5.7101, 5.7101 and 5.7999 Å and the angles 90.00°, 90.00° and 90.00°. The distinct sites, in fractional coordinates, are Sn at (0.0000, 0.0000, 0.0000), Ge at (0.5000, 0.5000, 0.5000), Sb at (0.0000, 0.5000, 0.0000) and I at (0.0000, 0.0000, 0.5000).

=====

(3)
The following is a DFT calculation (GGA-PBE) of a relaxed structure of Rb3RuW.

The calculation puts the formation energy from the elements at 2.14 eV/atom. The crystal system is cubic. As for the total energy: -2.884 eV/atom. For the energy above the most stable polymorph in this dataset, the calculation gives 0 meV per atom.

The structure belongs to space group Pm-3m (No. 221); the cell edges are 6.3772, 6.3772 and 6.3772 Å and the angles 90.00°, 90.00° and 90.00°. The distinct sites, in fractional coordinates, are Rb at (0.0000, 0.0000, 0.5000), Ru at (0.0000, 0.0000, 0.0000) and W at (0.5000, 0.5000, 0.5000).